(1)
DFT (PBE) results for a relaxed structure of TaNiP2.

a = 3.1697 Å, b = 3.1697 Å, c = 5.3143 Å
α = 90.00°, β = 90.00°, γ = 90.00°
Closest atoms and distances in Å follow each position.
Fractional coordinates of all 4 atoms:
Ta  0.0000  0.0000  0.0000  2 Ni 2.66, 8 P 2.67
Ni  0.0000  0.0000  0.5000  8 P 2.55, 2 Ta 2.66
P  0.5000  0.5000  0.2714  1 P 2.43, 4 Ni 2.55, 4 Ta 2.67
P  0.5000  0.5000  0.7286  1 P 2.43, 4 Ni 2.55, 4 Ta 2.67

M_tot: 0.0 μB/f.u.
VASP energy: -7.364 eV per atom
ΔE_f: -250 meV per atom

=====

(2)
DFT (PBE) results for a relaxed structure of TaNiP2.

a = 5.7603 Å, b = 7.5717 Å, c = 2.8523 Å
α = 90.00°, β = 112.82°, γ = 90.00°
Closest atoms and distances in Å follow each position.
Fractional coordinates of all 8 atoms:
Ta  0.0000  0.0000  0.0000  4 P 2.47
Ta  0.5000  0.5000  0.0000  4 P 2.47
Ni  0.0000  0.5000  0.0000  4 P 2.47
Ni  0.5000  0.0000  0.0000  4 P 2.47
P  0.2500  0.2500  0.5000  2 Ta 2.47, 2 Ni 2.47
P  0.2500  0.7500  0.5000  2 Ni 2.47, 2 Ta 2.47
P  0.7500  0.2500  0.5000  2 Ni 2.47, 2 Ta 2.47
P  0.7500  0.7500  0.5000  2 Ta 2.47, 2 Ni 2.47

M_tot: 0.0 μB/f.u.
VASP energy: -7.155 eV per atom
ΔE_f: -42 meV per atom

=====

(3)
DFT (PBE) results for a relaxed structure of TaNiP2.

a = 6.0696 Å, b = 6.0696 Å, c = 6.0696 Å
α = 90.00°, β = 90.00°, γ = 90.00°
Closest atoms and distances in Å follow each position.
Fractional coordinates of all 16 atoms:
Ta  0.0000  0.0000  0.0000  4 Ni 2.63, 4 P 2.63
Ta  0.0000  0.5000  0.5000  4 Ni 2.63, 4 P 2.63
Ta  0.5000  0.0000  0.5000  4 Ni 2.63, 4 P 2.63
Ta  0.5000  0.5000  0.0000  4 Ni 2.63, 4 P 2.63
Ni  0.2500  0.2500  0.7500  4 Ta 2.63, 4 P 2.63
Ni  0.2500  0.7500  0.2500  4 Ta 2.63, 4 P 2.63
Ni  0.7500  0.2500  0.2500  4 Ta 2.63, 4 P 2.63
Ni  0.7500  0.7500  0.7500  4 Ta 2.63, 4 P 2.63
P  0.0000  0.0000  0.5000  4 P 2.63, 4 Ni 2.63
P  0.0000  0.5000  0.0000  4 P 2.63, 4 Ni 2.63
P  0.2500  0.2500  0.2500  4 Ta 2.63, 4 P 2.63
P  0.2500  0.7500  0.7500  4 Ta 2.63, 4 P 2.63
P  0.5000  0.0000  0.0000  4 P 2.63, 4 Ni 2.63
P  0.5000  0.5000  0.5000  4 P 2.63, 4 Ni 2.63
P  0.7500  0.2500  0.7500  4 Ta 2.63, 4 P 2.63
P  0.7500  0.7500  0.2500  4 Ta 2.63, 4 P 2.63

M_tot: 0.0 μB/f.u.
VASP energy: -6.941 eV per atom
ΔE_f: 173 meV per atom

=====

(4)
DFT (PBE) results for a relaxed structure of TaTcNi2P.

a = 4.4087 Å, b = 4.4087 Å, c = 4.3692 Å
α = 90.00°, β = 90.00°, γ = 90.00°
Closest atoms and distances in Å follow each position.
Fractional coordinates of all 5 atoms:
Ta  0.0000  0.0000  0.0000  8 Ni 3.10, 4 P 3.12
Tc  0.5000  0.5000  0.5000  2 P 2.18, 4 Ni 2.20
Ni  0.0000  0.5000  0.5000  2 Tc 2.20
Ni  0.5000  0.0000  0.5000  2 Tc 2.20
P  0.5000  0.5000  0.0000  2 Tc 2.18

M_tot: 0.0 μB/f.u.
VASP energy: -6.771 eV per atom
ΔE_f: 1068 meV per atom

=====

(5)
DFT (PBE) results for a relaxed structure of UTa2NiP4.

a = 6.2671 Å, b = 6.2671 Å, c = 12.3929 Å
α = 90.00°, β = 90.00°, γ = 146.33°
Closest atoms and distances in Å follow each position.
Fractional coordinates of all 16 atoms:
U  0.1154  0.8846  0.7500  6 P 2.70-2.73
U  0.8846  0.1154  0.2500  6 P 2.70-2.73
Ta  0.3589  0.6411  0.5644  6 P 2.48-2.61
Ta  0.3589  0.6411  0.9356  6 P 2.48-2.61
Ta  0.6411  0.3589  0.0644  6 P 2.48-2.61
Ta  0.6411  0.3589  0.4356  6 P 2.48-2.61
Ni  0.1523  0.8477  0.2500  4 P 2.19-2.22
Ni  0.8477  0.1523  0.7500  4 P 2.19-2.22
P  0.0000  0.0000  0.0000  4 Ta 2.61
P  0.0000  0.0000  0.5000  4 Ta 2.61
P  0.2802  0.7198  0.1208  1 Ni 2.22, 1 Ta 2.48
P  0.2802  0.7198  0.3792  1 Ni 2.22, 1 Ta 2.48
P  0.4492  0.5508  0.7500  2 Ni 2.19
P  0.5508  0.4492  0.2500  2 Ni 2.19
P  0.7198  0.2802  0.6208  1 Ni 2.22, 1 Ta 2.48
P  0.7198  0.2802  0.8792  1 Ni 2.22, 1 Ta 2.48

M_tot: 1.8 μB/f.u.
VASP energy: -8.454 eV per atom
ΔE_f: -653 meV per atom

=====

(6)
DFT (PBE) results for a relaxed structure of TaZnNiP2.

a = 4.7407 Å, b = 4.7407 Å, c = 5.0041 Å
α = 90.00°, β = 90.00°, γ = 90.00°
Closest atoms and distances in Å follow each position.
Fractional coordinates of all 5 atoms:
Ta  0.0000  0.0000  0.0000  4 P 2.37, 2 Zn 2.50
Zn  0.0000  0.0000  0.5000  2 Ta 2.50
Ni  0.5000  0.5000  0.5000  4 Zn 3.35, 8 P 3.45
P  0.0000  0.5000  0.0000  2 Ta 2.37
P  0.5000  0.0000  0.0000  2 Ta 2.37

M_tot: 0.7 μB/f.u.
VASP energy: -5.063 eV per atom
ΔE_f: 883 meV per atom

=====

(7)
DFT (PBE) results for a relaxed structure of TbNi6P4.

a = 6.6076 Å, b = 6.6076 Å, c = 3.6288 Å
α = 90.00°, β = 90.00°, γ = 120.00°
Closest atoms and distances in Å follow each position.
Fractional coordinates of all 11 atoms:
Tb  0.0000  0.0000  0.0000  6 P 2.83, 6 Ni 2.95
Ni  0.2029  0.4057  0.5000  4 P 2.25-2.35
Ni  0.2029  0.7971  0.5000  4 P 2.25-2.35
Ni  0.5364  0.0728  0.0000  5 P 2.32-2.40, 2 Ni 2.58
Ni  0.5364  0.4636  0.0000  5 P 2.32-2.40, 2 Ni 2.58
Ni  0.5943  0.7971  0.5000  4 P 2.25-2.35
Ni  0.9272  0.4636  0.0000  5 P 2.32-2.40, 2 Ni 2.58
P  0.3333  0.6667  0.0000  9 Ni 2.32-2.35
P  0.3798  0.1899  0.5000  6 Ni 2.25-2.40
P  0.8101  0.1899  0.5000  6 Ni 2.25-2.40
P  0.8101  0.6202  0.5000  6 Ni 2.25-2.40

M_tot: 0.0 μB/f.u.
VASP energy: -6.229 eV per atom
ΔE_f: -687 meV per atom

=====

(8)
DFT (PBE) results for a relaxed structure of TbNi6P2.

a = 3.8328 Å, b = 3.8328 Å, c = 7.8043 Å
α = 90.00°, β = 90.00°, γ = 90.00°
Closest atoms and distances in Å follow each position.
Fractional coordinates of all 9 atoms:
Tb  0.0000  0.0000  0.0000  8 P 2.96, 8 Ni 2.99
Ni  0.0000  0.0000  0.5000  12 Ni 2.50-2.71
Ni  0.0000  0.5000  0.2943  2 P 2.21
Ni  0.0000  0.5000  0.7057  2 P 2.21
Ni  0.5000  0.0000  0.2943  2 P 2.21
Ni  0.5000  0.0000  0.7057  2 P 2.21
Ni  0.5000  0.5000  0.5000  12 Ni 2.50-2.71, 2 P 2.71
P  0.5000  0.5000  0.1527  4 Ni 2.21, 1 P 2.38
P  0.5000  0.5000  0.8473  4 Ni 2.21, 1 P 2.38

M_tot: 1.2 μB/f.u.
VASP energy: -6.109 eV per atom
ΔE_f: -538 meV per atom

=====

(9)
DFT (PBE) results for a relaxed structure of Tb3Ni7P4.

a = 7.5483 Å, b = 7.5483 Å, c = 8.9097 Å
α = 125.10°, β = 125.10°, γ = 29.25°
Closest atoms and distances in Å follow each position.
Fractional coordinates of all 14 atoms:
Tb  0.0000  0.0000  0.0000  6 P 2.82-2.89, 6 Ni 3.00-3.10
Tb  0.3202  0.3202  0.3241  4 P 2.83-2.84, 10 Ni 2.85-3.00
Tb  0.6798  0.6798  0.6759  4 P 2.83-2.84, 10 Ni 2.85-3.00
Ni  0.0000  0.0000  0.5000  2 P 2.33
Ni  0.1619  0.1619  0.4177  3 P 2.29-2.40
Ni  0.3085  0.3085  0.9759  4 P 2.37-2.52, 1 Ni 2.54
Ni  0.4930  0.4930  0.7185  3 P 2.30-2.35, 1 Ni 2.54
Ni  0.5070  0.5070  0.2815  3 P 2.30-2.35, 1 Ni 2.54
Ni  0.6915  0.6915  0.0241  4 P 2.37-2.52, 1 Ni 2.54
Ni  0.8381  0.8381  0.5823  3 P 2.29-2.40
P  0.1092  0.1092  0.8244  6 Ni 2.33-2.39
P  0.3385  0.3385  0.7255  5 Ni 2.29-2.52
P  0.6615  0.6615  0.2745  5 Ni 2.29-2.52
P  0.8908  0.8908  0.1756  6 Ni 2.33-2.39

M_tot: 0.0 μB/f.u.
VASP energy: -6.318 eV per atom
ΔE_f: -890 meV per atom

=====

(10)
DFT (PBE) results for a relaxed structure of Tb2NiP2.

a = 5.5632 Å, b = 5.5632 Å, c = 9.9517 Å
α = 110.44°, β = 110.44°, γ = 40.96°
Closest atoms and distances in Å follow each position.
Fractional coordinates of all 10 atoms:
Tb  0.0924  0.0924  0.4004  6 P 2.83-3.12, 2 Ni 2.95
Tb  0.3034  0.3034  0.8587  7 P 2.92-3.06, 4 Ni 2.95-3.02
Tb  0.6966  0.6966  0.1413  7 P 2.92-3.06, 4 Ni 2.95-3.02
Tb  0.9076  0.9076  0.5996  6 P 2.83-3.12, 2 Ni 2.95
Ni  0.4295  0.4295  0.1800  3 P 2.19-2.27
Ni  0.5705  0.5705  0.8200  3 P 2.19-2.27
P  0.0435  0.0435  0.9079  2 Ni 2.19, 1 P 2.33
P  0.3476  0.3476  0.3617  1 Ni 2.27
P  0.6524  0.6524  0.6383  1 Ni 2.27
P  0.9565  0.9565  0.0921  2 Ni 2.19, 1 P 2.33

M_tot: 0.0 μB/f.u.
VASP energy: -6.398 eV per atom
ΔE_f: -1226 meV per atom

=====

(11)
DFT (PBE) results for a relaxed structure of TbNi3P3.

a = 7.4069 Å, b = 7.4069 Å, c = 7.4069 Å
α = 51.84°, β = 51.84°, γ = 51.84°
Closest atoms and distances in Å follow each position.
Fractional coordinates of all 14 atoms:
Tb  0.1672  0.1672  0.1672  6 P 2.82
Tb  0.8328  0.8328  0.8328  6 P 2.82
Ni  0.0398  0.7101  0.3761  4 P 2.22-2.28
Ni  0.2899  0.6239  0.9602  4 P 2.22-2.28
Ni  0.3761  0.0398  0.7101  4 P 2.22-2.28
Ni  0.6239  0.9602  0.2899  4 P 2.22-2.28
Ni  0.7101  0.3761  0.0398  4 P 2.22-2.28
Ni  0.9602  0.2899  0.6239  4 P 2.22-2.28
P  0.0816  0.4054  0.7335  4 Ni 2.22-2.28
P  0.2665  0.9184  0.5946  4 Ni 2.22-2.28
P  0.4054  0.7335  0.0816  4 Ni 2.22-2.28
P  0.5946  0.2665  0.9184  4 Ni 2.22-2.28
P  0.7335  0.0816  0.4054  4 Ni 2.22-2.28
P  0.9184  0.5946  0.2665  4 Ni 2.22-2.28

M_tot: 0.0 μB/f.u.
VASP energy: -6.187 eV per atom
ΔE_f: -729 meV per atom
Energy above the lowest structure with this stoichiometry: 0 meV/atom

=====

(12)
DFT (PBE) results for a relaxed structure of Tb3Ni6P5.

a = 3.7810 Å, b = 11.5783 Å, c = 9.3890 Å
α = 90.00°, β = 90.00°, γ = 90.00°
Closest atoms and distances in Å follow each position.
Fractional coordinates of all 28 atoms:
Tb  0.2500  0.0903  0.2499  6 P 2.90-2.93, 7 Ni 2.90-3.08
Tb  0.2500  0.4097  0.2499  6 P 2.90-2.93, 7 Ni 2.90-3.08
Tb  0.2500  0.7500  0.2479  6 P 2.88-2.91, 10 Ni 2.94-3.15
Tb  0.7500  0.2500  0.7521  6 P 2.88-2.91, 10 Ni 2.94-3.15
Tb  0.7500  0.5903  0.7501  6 P 2.90-2.93, 7 Ni 2.90-3.08
Tb  0.7500  0.9097  0.7501  6 P 2.90-2.93, 7 Ni 2.90-3.08
Ni  0.2500  0.0637  0.8908  4 P 2.31-2.32, 1 Ni 2.44
Ni  0.2500  0.2500  0.0114  4 P 2.41, 2 Ni 2.44
Ni  0.2500  0.2500  0.5125  4 P 2.26-2.33
Ni  0.2500  0.4363  0.8908  4 P 2.31-2.32, 1 Ni 2.44
Ni  0.2500  0.5789  0.4930  4 P 2.29-2.33
Ni  0.2500  0.9211  0.4930  4 P 2.29-2.33
Ni  0.7500  0.0789  0.5070  4 P 2.29-2.33
Ni  0.7500  0.4211  0.5070  4 P 2.29-2.33
Ni  0.7500  0.5637  0.1092  4 P 2.31-2.32, 1 Ni 2.44
Ni  0.7500  0.7500  0.4875  4 P 2.26-2.33
Ni  0.7500  0.7500  0.9886  4 P 2.41, 2 Ni 2.44
Ni  0.7500  0.9363  0.1092  4 P 2.31-2.32, 1 Ni 2.44
P  0.2500  0.0799  0.6455  5 Ni 2.29-2.33
P  0.2500  0.4201  0.6455  5 Ni 2.29-2.33
P  0.2500  0.6215  0.9851  5 Ni 2.32-2.41
P  0.2500  0.7500  0.6194  4 Ni 2.26-2.31
P  0.2500  0.8785  0.9851  5 Ni 2.32-2.41
P  0.7500  0.1215  0.0149  5 Ni 2.32-2.41
P  0.7500  0.2500  0.3806  4 Ni 2.26-2.31
P  0.7500  0.3785  0.0149  5 Ni 2.32-2.41
P  0.7500  0.5799  0.3545  5 Ni 2.29-2.33
P  0.7500  0.9201  0.3545  5 Ni 2.29-2.33

M_tot: 0.0 μB/f.u.
VASP energy: -6.401 eV per atom
ΔE_f: -999 meV per atom

=====

- The highest VASP energy belongs to which entry?
  TaZnNiP2